The following is a DFT calculation (GGA-PBE) of crystalline YHg2Mo at its relaxed geometry.

Cell and atoms, written as POSCAR:
```
YHg2Mo
1.0
3.154 0.000 0.000
-1.577 2.731 0.000
0.000 0.000 30.176
Y Hg Mo
3 6 3
direct
0.000 0.000 0.000 Y
0.333 0.667 0.667 Y
0.667 0.333 0.333 Y
0.000 0.000 0.244 Hg
0.000 0.000 0.756 Hg
0.333 0.667 0.423 Hg
0.333 0.667 0.911 Hg
0.667 0.333 0.089 Hg
0.667 0.333 0.577 Hg
0.000 0.000 0.500 Mo
0.333 0.667 0.167 Mo
0.667 0.333 0.833 Mo
```

## Properties
Its space group is No. 166. For the energy above the most stable polymorph in this dataset, the calculation gives 0.2333 eV/atom. For the density, the calculation gives 11.23 Mg/m³. The energy of formation is 410 meV per atom. Its density of states at the Fermi level is 1.132 states/eV/atom.


The following is a DFT calculation (GGA-PBE) of crystalline YHgMo at its relaxed geometry.

Cell and atoms, written as POSCAR:
```
YHgMo
1.0
10.575 0.000 0.000
0.000 4.844 0.000
-4.471 0.000 5.389
Y Hg Mo
4 4 4
direct
0.037 0.000 0.285 Y
0.463 0.500 0.715 Y
0.537 0.500 0.285 Y
0.963 0.000 0.715 Y
0.177 0.500 0.129 Hg
0.323 0.000 0.871 Hg
0.677 0.000 0.129 Hg
0.823 0.500 0.871 Hg
0.133 0.500 0.653 Mo
0.367 0.000 0.347 Mo
0.633 0.000 0.653 Mo
0.867 0.500 0.347 Mo
```

## Properties
Its space group is No. 12. For the energy above the most stable polymorph in this dataset, the calculation gives 0.0429 eV/atom. For the density, the calculation gives 9.27 Mg/m³. The energy of formation is 92 meV per atom. Its density of states at the Fermi level is 0.912 states/eV/atom.


The following is a DFT calculation (GGA-PBE) of crystalline YHgMo2 at its relaxed geometry.

Cell and atoms, written as POSCAR:
```
YHgMo2
1.0
3.383 0.000 0.000
0.000 5.005 0.000
0.000 0.000 9.518
Y Hg Mo
2 2 4
direct
0.000 0.000 0.000 Y
0.500 0.500 0.000 Y
0.000 0.500 0.284 Hg
0.500 0.000 0.284 Hg
0.000 0.000 0.543 Mo
0.000 0.500 0.740 Mo
0.500 0.000 0.740 Mo
0.500 0.500 0.543 Mo
```

## Properties
Its space group is No. 35. For the density, the calculation gives 9.92 Mg/m³. The energy of formation is 306 meV per atom. Its density of states at the Fermi level is 0.838 states/eV/atom.


The following is a DFT calculation (GGA-PBE) of crystalline YHgMo3 at its relaxed geometry.

Cell and atoms, written as POSCAR:
```
YHgMo3
1.0
4.835 0.000 0.000
0.000 4.835 0.000
0.000 0.000 4.835
Y Hg Mo
1 1 3
direct
0.000 0.000 0.000 Y
0.500 0.500 0.500 Hg
0.000 0.000 0.500 Mo
0.000 0.500 0.000 Mo
0.500 0.000 0.000 Mo
```

## Properties
Its space group is No. 221. For the energy above the most stable polymorph in this dataset, the calculation gives 0.3384 eV/atom. For the density, the calculation gives 8.48 Mg/m³. The energy of formation is 2382 meV per atom. Its density of states at the Fermi level is 1.288 states/eV/atom.


The following is a DFT calculation (GGA-PBE) of crystalline YHg2Mo at its relaxed geometry.

Cell and atoms, written as POSCAR:
```
YHg2Mo
1.0
3.390 0.000 0.000
-1.695 2.936 0.000
0.000 0.000 27.924
Y Hg Mo
3 6 3
direct
0.000 0.000 0.000 Y
0.333 0.667 0.667 Y
0.667 0.333 0.333 Y
0.000 0.000 0.510 Hg
0.000 0.000 0.757 Hg
0.333 0.667 0.177 Hg
0.333 0.667 0.424 Hg
0.667 0.333 0.090 Hg
0.667 0.333 0.843 Hg
0.000 0.000 0.254 Mo
0.333 0.667 0.921 Mo
0.667 0.333 0.587 Mo
```

## Properties
Its space group is No. 160. For the energy above the most stable polymorph in this dataset, the calculation gives 0.1834 eV/atom. For the density, the calculation gives 10.51 Mg/m³. The energy of formation is 360 meV per atom. Its density of states at the Fermi level is 0.831 states/eV/atom.


The following is a DFT calculation (GGA-PBE) of crystalline YHgMo at its relaxed geometry.

Cell and atoms, written as POSCAR:
```
YHgMo
1.0
4.863 0.000 0.000
0.000 7.054 0.000
0.000 0.000 8.235
Y Hg Mo
4 4 4
direct
0.000 0.000 0.000 Y
0.000 0.500 0.084 Y
0.500 0.000 0.584 Y
0.500 0.500 0.500 Y
0.000 0.226 0.389 Hg
0.000 0.774 0.389 Hg
0.500 0.274 0.889 Hg
0.500 0.726 0.889 Hg
0.000 0.343 0.722 Mo
0.000 0.657 0.722 Mo
0.500 0.157 0.222 Mo
0.500 0.843 0.222 Mo
```

## Properties
Its space group is No. 44. For the energy above the most stable polymorph in this dataset, the calculation gives 0.0487 eV/atom. For the density, the calculation gives 9.06 Mg/m³. The energy of formation is 98 meV per atom. Its density of states at the Fermi level is 0.877 states/eV/atom.